(1)
A relaxed structure of La2Cd2HgPd5. Source: Alexandria, functional PBE.

Summary:
Its crystal system is tetragonal. The formation energy comes out at -438 kJ/mol of formula units. As for the space-group type: P4/mbm, No. 127.

Lattice parameters (Å, degrees): 3.9295 10.3451 10.3451 90.00 90.00 90.00
Fractional coordinates of all 20 atoms:
Pd 0.5000 0.6993 0.4469
Pd 0.5000 0.0000 0.5000
Pd 0.5000 0.5531 0.6993
Pd 0.5000 0.5000 0.0000
Pd 0.5000 0.8007 0.9469
Pd 0.5000 0.4469 0.3007
Pd 0.5000 0.9469 0.1993
Pd 0.5000 0.1993 0.0531
Pd 0.5000 0.3007 0.5531
Pd 0.5000 0.0531 0.8007
Cd 0.0000 0.8762 0.3762
Cd 0.0000 0.6238 0.8762
Cd 0.0000 0.1238 0.6238
Cd 0.0000 0.3762 0.1238
Hg 0.0000 0.0000 0.0000
Hg 0.0000 0.5000 0.5000
La 0.0000 0.1746 0.3254
La 0.0000 0.8254 0.6746
La 0.0000 0.6746 0.1746
La 0.0000 0.3254 0.8254

=====

(2)
A relaxed structure of HfTaSN2. Source: Alexandria, functional PBE.

Summary:
Its crystal system is tetragonal. The calculation puts the uncorrected formation energy at -0.17 eV per atom. As for the space-group type: P4/mmm, No. 123. Its energy above the most stable polymorph in this dataset is 0.00 eV/f.u.

Lattice parameters (Å, degrees): 3.9889 3.9889 4.7949 90.00 90.00 90.00
Fractional coordinates of all 5 atoms:
N 0.5000 0.0000 0.0000
N 0.0000 0.5000 0.0000
Ta 0.0000 0.0000 0.0000
Hf 0.5000 0.5000 0.5000
S 0.0000 0.0000 0.5000

=====

(3)
A relaxed structure of CePm6Er. Source: Alexandria, functional PBE.

Summary:
Its crystal system is tetragonal. The formation energy comes out at 36 kJ/mol of formula units. As for the space-group type: I4/mmm, No. 139.

Lattice parameters (Å, degrees): 5.1128 5.1128 10.8600 76.39 76.39 90.00
Site moments in Bohr magnetons follow the coordinates.
Fractional coordinates of all 8 atoms:
Pm 0.7481 0.7481 0.5038  -0.03
Pm 0.1222 0.6222 0.7556  0.01
Pm 0.2519 0.2519 0.4962  -0.03
Pm 0.8778 0.3778 0.2444  0.01
Pm 0.6222 0.1222 0.7556  0.01
Pm 0.3778 0.8778 0.2444  0.01
Er 0.0000 0.0000 0.0000  0.06
Ce 0.5000 0.5000 0.0000  0.76

=====

(4)
A relaxed structure of Zr2TaTe. Source: Alexandria, functional PBE.

Summary:
Its crystal system is monoclinic. The calculation puts the uncorrected formation energy at 0.01 eV per atom. As for the space-group type: P2/m, No. 10.

Lattice parameters (Å, degrees): 4.9102 3.2752 5.4797 87.64 90.00 90.00
Fractional coordinates of all 4 atoms:
Zr 0.0000 0.5308 0.4862
Zr 0.0000 0.9692 0.0138
Te 0.5000 0.7500 0.7500
Ta 0.5000 0.2500 0.2500

=====

(5)
A relaxed structure of FeSiRh2. Source: Alexandria, functional PBE.

Summary:
Its crystal system is tetragonal. The calculation puts the uncorrected formation energy at 0.51 eV per atom. As for the space-group type: I-42d, No. 122.

Lattice parameters (Å, degrees): 5.1784 5.1784 6.5717 66.80 66.80 90.00
Fractional coordinates of all 8 atoms:
Si 0.5000 0.5000 0.0000
Si 0.2500 0.7500 0.5000
Fe 0.0000 0.0000 0.0000
Fe 0.7500 0.2500 0.5000
Rh 0.3750 0.3688 0.7500
Rh 0.6312 0.1250 0.2500
Rh 0.8750 0.8812 0.7500
Rh 0.1188 0.6250 0.2500

=====

(6)
A relaxed structure of DyPuSe2O. Source: Alexandria, functional PBE.

Summary:
Its crystal system is tetragonal. The calculation puts the uncorrected formation energy at -2.19 eV per atom. As for the space-group type: P4/nmm, No. 129.

Lattice parameters (Å, degrees): 3.9796 3.9796 14.3788 90.00 90.00 90.00
Site moments in Bohr magnetons follow the coordinates.
Fractional coordinates of all 10 atoms:
Se 0.5000 0.0000 0.9088  0.00
Se 0.5000 0.0000 0.3108  -0.06
Se 0.0000 0.5000 0.0912  0.00
Se 0.0000 0.5000 0.6892  -0.06
O 0.5000 0.5000 0.5000  -0.13
O 0.0000 0.0000 0.5000  -0.13
Dy 0.0000 0.5000 0.8776  0.01
Dy 0.5000 0.0000 0.1224  0.01
Pu 0.5000 0.0000 0.5826  4.87
Pu 0.0000 0.5000 0.4174  4.87

=====

(7)
A relaxed structure of LiSi2Os. Source: Alexandria, functional PBE.

Summary:
Its crystal system is cubic. The calculation puts the uncorrected formation energy at 0.18 eV per atom. As for the space-group type: F-43m, No. 216. Its energy above the most stable polymorph in this dataset is 1.74 eV/f.u.

Lattice parameters (Å, degrees): 4.1215 4.1215 4.1215 60.00 60.00 60.00
Fractional coordinates of all 4 atoms:
Si 0.2500 0.2500 0.2500
Si 0.0000 0.0000 0.0000
Li 0.5000 0.5000 0.5000
Os 0.7500 0.7500 0.7500

=====

(8)
A relaxed structure of YHf2ReC4. Source: Alexandria, functional PBE.

Summary:
Its crystal system is orthorhombic. The formation energy comes out at -284 kJ/mol of formula units. As for the space-group type: Cmcm, No. 63.

Lattice parameters (Å, degrees): 3.3095 6.0226 11.5691 90.00 90.00 105.95
Fractional coordinates of all 16 atoms:
Hf 0.3701 0.7401 0.9622
Hf 0.3701 0.7401 0.5377
Hf 0.6299 0.2599 0.0378
Hf 0.6299 0.2599 0.4622
C 0.5596 0.1192 0.2500
C 0.2618 0.5236 0.3824
C 0.4404 0.8808 0.7500
C 0.2618 0.5236 0.1176
C 0.0000 0.0000 0.0000
C 0.7382 0.4764 0.6176
C 0.7382 0.4764 0.8824
C 0.0000 0.0000 0.5000
Re 0.8397 0.6795 0.7500
Re 0.1603 0.3205 0.2500
Y 0.8970 0.7939 0.2500
Y 0.1030 0.2061 0.7500

=====

no.,energy (eV/atom)
1,-4.249
2,-8.688
3,-4.829
4,-8.012
5,-6.632
6,-8.366
7,-5.818
8,-9.833